[1]
First-principles (PBEsol) data for crystalline Al5Re at its relaxed geometry, as listed in the Alexandria database.

a b c (Å): 4.9080 4.9080 5.7047
angles (deg): 105.87 105.87 42.54
Last column: nearest neighbours and their distance in Å.
Sites, in units of the cell vectors:
1 Al 0.0000 0.0000 0.0000  8 Al 2.65-2.73, 2 Re 2.85
2 Al 0.3298 0.3298 0.6664  9 Al 2.70-2.86, 3 Re 2.71-2.88
3 Al 0.3429 0.3429 0.1718  9 Al 2.65-2.86, 2 Re 2.68
4 Al 0.6571 0.6571 0.8282  9 Al 2.65-2.86, 2 Re 2.68
5 Al 0.6702 0.6702 0.3336  9 Al 2.70-2.86, 3 Re 2.71-2.88
6 Re 0.0000 0.0000 0.5000  12 Al 2.68-2.88

The theoretical density comes out at 6.004 g/cm³. The volume is 14.802 Å³ per atom. The total energy is -5.767 eV per atom.


[2]
First-principles (PBEsol) data for crystalline CaIr2Ru at its relaxed geometry, as listed in the Alexandria database.

a b c (Å): 4.4952 4.4952 4.4952
angles (deg): 60.00 60.00 60.00
Last column: nearest neighbours and their distance in Å.
Sites, in units of the cell vectors:
1 Ca 0.0000 0.0000 0.0000  8 Ir 2.75
2 Ir 0.2500 0.2500 0.2500  4 Ca 2.75, 4 Ru 2.75
3 Ir 0.7500 0.7500 0.7500  4 Ru 2.75, 4 Ca 2.75
4 Ru 0.5000 0.5000 0.5000  8 Ir 2.75

The energy above the lowest structure with this stoichiometry is 0.359 eV/atom. The theoretical density comes out at 13.588 g/cm³. The volume is 16.058 Å³ per atom. The total energy is -7.487 eV per atom.


[3]
First-principles (PBEsol) data for crystalline TlTeN2F at its relaxed geometry, as listed in the Alexandria database.

a b c (Å): 4.0623 4.0623 4.6201
angles (deg): 90.00 90.00 90.00
Last column: nearest neighbours and their distance in Å.
Sites, in units of the cell vectors:
1 Tl 0.0000 0.0000 0.0000  4 F 2.87, 8 N 3.08
2 Te 0.5000 0.5000 0.5000  4 N 2.03
3 N 0.0000 0.5000 0.5000  2 Te 2.03
4 N 0.5000 0.0000 0.5000  2 Te 2.03
5 F 0.5000 0.5000 0.0000  2 Te 2.31

The calculation puts the uncorrected formation energy at 0.3813 eV per atom. The theoretical density comes out at 8.255 g/cm³. The volume is 15.248 Å³ per atom. The total energy is -4.646 eV per atom.


[4]
First-principles (PBEsol) data for crystalline ErTiFe11C at its relaxed geometry, as listed in the Alexandria database.

a b c (Å): 6.3592 6.3592 6.3592
angles (deg): 136.56 97.52 98.23
Last column: nearest neighbours and their distance in Å.
Sites, in units of the cell vectors:
1 Er 0.0000 0.0000 0.0000  2 C 2.35
2 Ti 0.6237 0.6237 0.0000  1 Fe 2.31
3 Fe 0.2104 0.4900 0.7204  1 C 1.85
4 Fe 0.2170 0.7170 0.5000  1 C 1.86
5 Fe 0.3460 0.3460 0.0000  1 Ti 2.31, 6 Fe 2.54-2.59
6 Fe 0.3492 0.9921 0.3570  9 Fe 2.40-2.62
7 Fe 0.4922 0.4932 0.4986  9 Fe 2.35-2.57, 1 Ti 2.61
8 Fe 0.4922 0.9936 0.9990  9 Fe 2.35-2.57, 1 Ti 2.61
9 Fe 0.6351 0.9921 0.6430  9 Fe 2.40-2.62
10 Fe 0.7687 0.2687 0.5000  1 C 1.87
11 Fe 0.7696 0.4900 0.2796  1 C 1.85
12 Fe 0.9946 0.4932 0.0010  9 Fe 2.35-2.57, 1 Ti 2.61
13 Fe 0.9946 0.9936 0.5014  9 Fe 2.35-2.57, 1 Ti 2.61
14 C 0.9932 0.4932 0.5000  4 Fe 1.85-1.87

The theoretical density comes out at 8.506 g/cm³. The volume is 11.734 Å³ per atom. The total energy is -8.780 eV per atom.


[5]
First-principles (PBEsol) data for crystalline Rb2TaNbIn at its relaxed geometry, as listed in the Alexandria database.

a b c (Å): 6.2937 6.2937 5.3886
angles (deg): 90.00 90.00 90.00
Last column: nearest neighbours and their distance in Å.
Sites, in units of the cell vectors:
1 Rb 0.0000 0.5000 0.0000  2 Ta 3.15
2 Rb 0.5000 0.0000 0.0000  2 Ta 3.15
3 Ta 0.0000 0.0000 0.0000  2 In 2.69
4 Nb 0.5000 0.5000 0.5000  8 Rb 4.14, 4 In 4.45
5 In 0.0000 0.0000 0.5000  2 Ta 2.69

The theoretical density comes out at 4.354 g/cm³. The volume is 42.688 Å³ per atom. The total energy is -3.389 eV per atom.


[6]
First-principles (PBEsol) data for crystalline BeGeN2O at its relaxed geometry, as listed in the Alexandria database.

a b c (Å): 3.6918 3.6918 3.1812
angles (deg): 90.00 90.00 90.00
Last column: nearest neighbours and their distance in Å.
Sites, in units of the cell vectors:
1 Be 0.0000 0.0000 0.0000  2 O 1.59
2 Ge 0.5000 0.5000 0.5000  8 N 2.44, 4 O 2.61
3 N 0.0000 0.5000 0.0000  2 Be 1.85
4 N 0.5000 0.0000 0.0000  2 Be 1.85
5 O 0.0000 0.0000 0.5000  2 Be 1.59

The calculation puts the uncorrected formation energy at 0.6493 eV per atom. The theoretical density comes out at 4.813 g/cm³. The volume is 8.672 Å³ per atom. The total energy is -5.599 eV per atom.


[7]
First-principles (PBEsol) data for crystalline Zn4Rh at its relaxed geometry, as listed in the Alexandria database.

a b c (Å): 4.6590 4.6590 4.6590
angles (deg): 98.82 98.82 133.89
Last column: nearest neighbours and their distance in Å.
Sites, in units of the cell vectors:
1 Zn 0.1018 0.2958 0.3977  9 Zn 2.62-2.77, 3 Rh 2.63-2.71
2 Zn 0.2958 0.8982 0.1940  9 Zn 2.62-2.77, 3 Rh 2.63-2.71
3 Zn 0.7042 0.1018 0.8060  9 Zn 2.62-2.77, 3 Rh 2.63-2.71
4 Zn 0.8982 0.7042 0.6023  9 Zn 2.62-2.77, 3 Rh 2.63-2.71
5 Rh 0.5000 0.5000 0.0000  12 Zn 2.63-2.71

The theoretical density comes out at 9.027 g/cm³. The volume is 13.411 Å³ per atom. The total energy is -3.154 eV per atom.


[8]
First-principles (PBEsol) data for crystalline LiSm2Ga at its relaxed geometry, as listed in the Alexandria database.

a b c (Å): 5.1126 5.1126 5.1126
angles (deg): 60.00 60.00 60.00
Last column: nearest neighbours and their distance in Å.
Sites, in units of the cell vectors:
1 Li 0.0000 0.0000 0.0000  8 Sm 3.13
2 Sm 0.2500 0.2500 0.2500  4 Li 3.13, 4 Ga 3.13
3 Sm 0.7500 0.7500 0.7500  4 Li 3.13, 4 Ga 3.13
4 Ga 0.5000 0.5000 0.5000  8 Sm 3.13

The theoretical density comes out at 6.632 g/cm³. The volume is 23.624 Å³ per atom. The total energy is -4.178 eV per atom.


[9]
First-principles (PBEsol) data for crystalline InBi2S at its relaxed geometry, as listed in the Alexandria database.

a b c (Å): 5.1921 5.1921 5.1921
angles (deg): 60.00 60.00 60.00
Last column: nearest neighbours and their distance in Å.
Sites, in units of the cell vectors:
1 In 0.0000 0.0000 0.0000  8 Bi 3.18
2 Bi 0.2500 0.2500 0.2500  4 S 3.18, 4 In 3.18
3 Bi 0.7500 0.7500 0.7500  4 In 3.18, 4 S 3.18
4 S 0.5000 0.5000 0.5000  8 Bi 3.18

The calculation puts the uncorrected formation energy at 0.0765 eV per atom. The theoretical density comes out at 9.477 g/cm³. The volume is 24.743 Å³ per atom. The total energy is -3.908 eV per atom.


[10]
First-principles (PBEsol) data for crystalline LaSb2Rh at its relaxed geometry, as listed in the Alexandria database.

a b c (Å): 9.4632 9.4632 9.4632
angles (deg): 149.12 149.12 44.23
Last column: nearest neighbours and their distance in Å.
Sites, in units of the cell vectors:
1 La 0.0000 0.0000 0.0000  4 Sb 3.12
2 La 0.7500 0.2500 0.5000  4 Sb 3.12
3 Sb 0.2363 0.6250 0.1113  2 Rh 2.62, 2 Sb 2.88
4 Sb 0.3750 0.4863 0.6113  2 Rh 2.62, 2 Sb 2.88
5 Sb 0.5137 0.1250 0.8887  2 Rh 2.62, 2 Sb 2.88
6 Sb 0.8750 0.7637 0.3887  2 Rh 2.62, 2 Sb 2.88
7 Rh 0.2500 0.7500 0.5000  4 Sb 2.62
8 Rh 0.5000 0.5000 0.0000  4 Sb 2.62

The calculation puts the uncorrected formation energy at -0.3878 eV per atom. The theoretical density comes out at 7.243 g/cm³. The volume is 27.817 Å³ per atom. The total energy is -6.038 eV per atom.


[11]
First-principles (PBEsol) data for crystalline MgFeSb2 at its relaxed geometry, as listed in the Alexandria database.

a b c (Å): 3.2096 3.2096 7.8938
angles (deg): 90.00 90.00 90.00
Last column: nearest neighbours and their distance in Å.
Sites, in units of the cell vectors:
1 Mg 0.0000 0.0000 0.0000  4 Fe 2.77, 5 Sb 2.92-3.07
2 Fe 0.5000 0.5000 0.7987  4 Sb 2.63, 4 Mg 2.77
3 Sb 0.0000 0.0000 0.6297  4 Fe 2.63, 1 Mg 2.92
4 Sb 0.5000 0.5000 0.2613  4 Mg 3.07, 4 Sb 3.21

The energy above the lowest structure with this stoichiometry is 0.074 eV/atom. The calculation puts the uncorrected formation energy at 0.0920 eV per atom. The theoretical density comes out at 6.609 g/cm³. The volume is 20.330 Å³ per atom. The total energy is -4.857 eV per atom.


[12]
First-principles (PBEsol) data for crystalline BaHgIr2 at its relaxed geometry, as listed in the Alexandria database.

a b c (Å): 5.1932 5.1932 5.1932
angles (deg): 129.62 129.62 74.01
Last column: nearest neighbours and their distance in Å.
Sites, in units of the cell vectors:
1 Ba 0.0000 0.0000 0.0000  8 Ir 3.03, 4 Hg 3.13
2 Hg 0.5000 0.5000 0.0000  8 Ir 3.03, 4 Ba 3.13
3 Ir 0.2500 0.7500 0.5000  4 Ba 3.03, 4 Hg 3.03, 4 Ir 3.13
4 Ir 0.7500 0.2500 0.5000  4 Ba 3.03, 4 Hg 3.03, 4 Ir 3.13

The theoretical density comes out at 14.802 g/cm³. The volume is 20.259 Å³ per atom. The total energy is -4.846 eV per atom.


Size of the total moment, record by record: 0.000, 3.153, 0.026, 19.654, 7.711, 0.001, 0.000, 0.001, 0.000, 0.000, 1.682, 0.000 μB/cell